1.
Entry from Alexandria via LeMat-Bulk: an optimized crystal structure of BaCoNi3 (PBE-GGA).

Structure (POSCAR):
```
BaCoNi3
1.0
4.546 0.000 0.000
0.000 4.546 0.000
0.000 0.000 4.546
Ba Co Ni
1 1 3
Direct
0.000 0.000 0.000
0.500 0.500 0.500
0.000 0.500 0.500
0.500 0.000 0.500
0.500 0.500 0.000
```

Calculated values
Calculated total energy, eV/atom: -4.790
Energy above the most stable polymorph in this dataset, meV per atom: 0.0
N(E_F), states/eV per cell: 5.0

2.
Entry from Alexandria via LeMat-Bulk: an optimized crystal structure of BaCo3Ni (PBE-GGA).

Structure (POSCAR):
```
BaCo3Ni
1.0
4.796 0.000 0.000
0.000 4.796 0.000
0.000 0.000 4.796
Ba Co Ni
1 3 1
Direct
0.000 0.000 0.000
0.000 0.000 0.500
0.000 0.500 0.000
0.500 0.000 0.000
0.500 0.500 0.500
```

Calculated values
Calculated total energy, eV/atom: -3.296
Energy above the most stable polymorph in this dataset, meV per atom: 1761.5
N(E_F), states/eV per cell: 11.2

3.
Entry from Alexandria via LeMat-Bulk: an optimized crystal structure of Ba3CoNi (PBE-GGA).

Structure (POSCAR):
```
Ba3CoNi
1.0
5.687 0.000 0.000
0.000 5.687 0.000
0.000 0.000 5.687
Ba Co Ni
3 1 1
Direct
0.000 0.000 0.500
0.000 0.500 0.000
0.500 0.000 0.000
0.000 0.000 0.000
0.500 0.500 0.500
```

Calculated values
Calculated total energy, eV/atom: -3.165
Energy above the most stable polymorph in this dataset, meV per atom: 0.0
N(E_F), states/eV per cell: 8.0

4.
Entry from Alexandria via LeMat-Bulk: an optimized crystal structure of BaCo3Ni (PBE-GGA).

Structure (POSCAR):
```
BaCo3Ni
1.0
4.576 0.000 0.000
0.000 4.576 0.000
0.000 0.000 4.576
Ba Co Ni
1 3 1
Direct
0.000 0.000 0.000
0.000 0.500 0.500
0.500 0.000 0.500
0.500 0.500 0.000
0.500 0.500 0.500
```

Calculated values
Calculated total energy, eV/atom: -5.057
Energy above the most stable polymorph in this dataset, meV per atom: 0.0
N(E_F), states/eV per cell: 5.7

5.
Entry from Alexandria via LeMat-Bulk: an optimized crystal structure of Ba2CoNi2 (PBE-GGA).

Structure (POSCAR):
```
Ba2CoNi2
1.0
6.921 0.000 0.000
0.000 6.921 0.000
0.000 0.000 4.804
Ba Co Ni
4 2 4
Direct
0.185 0.315 0.000
0.315 0.815 0.000
0.685 0.185 0.000
0.815 0.685 0.000
0.000 0.000 0.500
0.500 0.500 0.500
0.125 0.625 0.500
0.375 0.125 0.500
0.625 0.875 0.500
0.875 0.375 0.500
```

Calculated values
Calculated total energy, eV/atom: -4.041
N(E_F), states/eV per cell: 15.0

6.
Entry from Alexandria via LeMat-Bulk: an optimized crystal structure of BaCoNi3 (PBE-GGA).

Structure (POSCAR):
```
BaCoNi3
1.0
4.869 0.000 0.000
0.000 4.869 0.000
0.000 0.000 4.869
Ba Co Ni
1 1 3
Direct
0.000 0.000 0.000
0.500 0.500 0.500
0.000 0.000 0.500
0.000 0.500 0.000
0.500 0.000 0.000
```

Calculated values
Calculated total energy, eV/atom: -3.087
Energy above the most stable polymorph in this dataset, meV per atom: 1703.0
N(E_F), states/eV per cell: 5.5

7.
Entry from Alexandria via LeMat-Bulk: an optimized crystal structure of BaCoNiPd2 (PBE-GGA).

Structure (POSCAR):
```
BaCoNiPd2
1.0
5.302 0.000 0.000
0.000 5.302 0.000
0.000 0.000 4.977
Ba Co Ni Pd
1 1 1 2
Direct
0.000 0.000 0.000
0.000 0.000 0.500
0.500 0.500 0.500
0.000 0.500 0.000
0.500 0.000 0.000
```

Calculated values
Calculated total energy, eV/atom: -3.138
N(E_F), states/eV per cell: 9.7

8.
Entry from Alexandria via LeMat-Bulk: an optimized crystal structure of RbBaCoNi2 (PBE-GGA).

Structure (POSCAR):
```
RbBaCoNi2
1.0
5.151 0.000 0.000
0.000 5.151 0.000
0.000 0.000 5.125
Rb Ba Co Ni
1 1 1 2
Direct
0.000 0.000 0.000
0.500 0.500 0.500
0.000 0.000 0.500
0.000 0.500 0.000
0.500 0.000 0.000
```

Calculated values
Calculated total energy, eV/atom: -2.638
N(E_F), states/eV per cell: 4.9

Sequential total moment output: 3.39; 4.59; 0.00; 5.88; 2.62; 2.48; 1.37; 0.64 μB per cell